Compound: CsTmCuS2
Source: the Alexandria database
Functional: PBE
Structure: optimized geometry

Values from the calculation:
E ... -4.629 eV/atom

```
data_CsTmCuS2
_symmetry_space_group_name_H-M 'P 1 2/c 1'
_symmetry_Int_Tables_number 13
_symmetry_space_group_name_Hall '-P 2yc'
_cell_length_a 8.049
_cell_length_b 4.708
_cell_length_c 7.762
_cell_angle_alpha 90.00
_cell_angle_beta 99.46
_cell_angle_gamma 90.00
loop_
_atom_site_label
_atom_site_fract_x
_atom_site_fract_y
_atom_site_fract_z
Cs1 0.000 0.170 0.250
Tm1 0.500 0.495 0.750
Cu1 0.500 0.000 0.000
S1 0.293 0.326 0.966
```

---

Compound: Cs2UCu2S4
Source: the Alexandria database
Functional: PBE
Structure: optimized geometry

Values from the calculation:
E ... -5.226 eV/atom

```
data_Cs2UCu2S4
_symmetry_space_group_name_H-M 'C 1 2/m 1'
_symmetry_Int_Tables_number 12
_symmetry_space_group_name_Hall '-C 2y'
_cell_length_a 14.626
_cell_length_b 4.024
_cell_length_c 8.174
_cell_angle_alpha 90.00
_cell_angle_beta 108.24
_cell_angle_gamma 90.00
loop_
_atom_site_label
_atom_site_fract_x
_atom_site_fract_y
_atom_site_fract_z
Cs1 0.140 0.000 0.066
U1 0.000 0.000 0.500
Cu1 0.177 0.500 0.482
S1 0.022 0.500 0.286
S2 0.194 0.000 0.646
```

---

Compound: CsU4Cu3S12
Source: the Alexandria database
Functional: PBE
Structure: optimized geometry

Values from the calculation:
E ... -6.302 eV/atom

```
data_CsU4Cu3S12
_symmetry_space_group_name_H-M 'I m -3'
_symmetry_Int_Tables_number 204
_symmetry_space_group_name_Hall '-I 2 2 3'
_cell_length_a 9.737
_cell_length_b 9.737
_cell_length_c 9.737
_cell_angle_alpha 90.00
_cell_angle_beta 90.00
_cell_angle_gamma 90.00
loop_
_atom_site_label
_atom_site_fract_x
_atom_site_fract_y
_atom_site_fract_z
Cs1 0.000 0.000 0.000
U1 0.250 0.250 0.250
Cu1 0.000 0.000 0.500
S1 0.000 0.171 0.322
```

---

Compound: Cs2UCu2S6
Source: the Alexandria database
Functional: PBE
Structure: optimized geometry

Values from the calculation:
E ... -4.982 eV/atom

```
data_Cs2UCu2S6
_symmetry_space_group_name_H-M 'P -3 m 1'
_symmetry_Int_Tables_number 164
_symmetry_space_group_name_Hall '-P 3 2"'
_cell_length_a 7.2570
_cell_length_b 7.2570
_cell_length_c 7.4834
_cell_angle_alpha 90.00
_cell_angle_beta 90.00
_cell_angle_gamma 120.00
loop_
_atom_site_label
_atom_site_fract_x
_atom_site_fract_y
_atom_site_fract_z
Cs1 0.3333 0.6667 0.2998
U1 0.0000 0.0000 0.0000
Cu1 0.3333 0.6667 0.8086
S1 0.1610 0.3220 0.7922
```

---

Compound: Cs2U3CuS8
Source: the Alexandria database
Functional: PBE
Structure: optimized geometry

Values from the calculation:
E ... -6.434 eV/atom

```
data_Cs2U3CuS8
_symmetry_space_group_name_H-M 'R 3 m'
_symmetry_Int_Tables_number 160
_symmetry_space_group_name_Hall 'R 3 -2"'
_cell_length_a 7.9498
_cell_length_b 7.9498
_cell_length_c 25.6648
_cell_angle_alpha 90.00
_cell_angle_beta 90.00
_cell_angle_gamma 120.00
loop_
_atom_site_label
_atom_site_fract_x
_atom_site_fract_y
_atom_site_fract_z
Cs1 0.0000 0.0000 0.0000
Cs2 0.0000 0.0000 0.3580
U1 0.0011 0.5006 0.8569
Cu1 0.0000 0.0000 0.8070
S1 0.0000 0.0000 0.1339
S2 0.0000 0.0000 0.5788
S3 0.0006 0.5003 0.1342
S4 0.1827 0.3653 0.9135
```

---

Compound: Cs3U3CuS8
Source: the Alexandria database
Functional: PBE
Structure: optimized geometry

Values from the calculation:
E ... -6.117 eV/atom

```
data_Cs3U3CuS8
_symmetry_space_group_name_H-M 'C 1 2/m 1'
_symmetry_Int_Tables_number 12
_symmetry_space_group_name_Hall '-C 2y'
_cell_length_a 13.289
_cell_length_b 8.411
_cell_length_c 9.036
_cell_angle_alpha 90.00
_cell_angle_beta 116.38
_cell_angle_gamma 90.00
loop_
_atom_site_label
_atom_site_fract_x
_atom_site_fract_y
_atom_site_fract_z
Cs1 0.000 0.000 0.000
Cs2 0.250 0.250 0.000
U1 0.000 0.500 0.500
U2 0.250 0.250 0.500
Cu1 0.000 0.000 0.500
S1 0.033 0.284 0.307
S2 0.192 0.000 0.647
S3 0.228 0.500 0.683
```

---

Compound: Cs3U2CuS9
Source: the Alexandria database
Functional: PBE
Structure: optimized geometry

Values from the calculation:
E ... -5.387 eV/atom

```
data_Cs3U2CuS9
_symmetry_space_group_name_H-M 'P -3 m 1'
_symmetry_Int_Tables_number 164
_symmetry_space_group_name_Hall '-P 3 2"'
_cell_length_a 7.2444
_cell_length_b 7.2444
_cell_length_c 8.8441
_cell_angle_alpha 90.00
_cell_angle_beta 90.00
_cell_angle_gamma 120.00
loop_
_atom_site_label
_atom_site_fract_x
_atom_site_fract_y
_atom_site_fract_z
Cs1 0.0000 0.0000 0.0000
Cs2 0.3333 0.6667 0.6641
U1 0.3333 0.6667 0.1828
Cu1 0.0000 0.0000 0.5000
S1 0.0000 0.5000 0.0000
S2 0.1652 0.3303 0.3328
```

---

Compound: Cs2UCuS6
Source: the Alexandria database
Functional: PBE
Structure: optimized geometry

Values from the calculation:
E ... -4.969 eV/atom

```
data_Cs2UCuS6
_symmetry_space_group_name_H-M 'P -1'
_symmetry_Int_Tables_number 2
_symmetry_space_group_name_Hall '-P 1'
_cell_length_a 6.185
_cell_length_b 6.511
_cell_length_c 8.280
_cell_angle_alpha 113.12
_cell_angle_beta 100.19
_cell_angle_gamma 90.15
loop_
_atom_site_label
_atom_site_fract_x
_atom_site_fract_y
_atom_site_fract_z
Cs1 0.224 0.224 0.448
U1 0.000 0.500 0.000
Cu1 0.500 0.000 0.000
S1 0.225 0.651 0.301
S2 0.238 0.719 0.878
S3 0.240 0.162 0.880
```

---

Compound: CsVCuS2
Source: the Alexandria database
Functional: PBE
Structure: optimized geometry

Values from the calculation:
E ... -5.199 eV/atom

```
data_CsVCuS2
_symmetry_space_group_name_H-M 'C m m e'
_symmetry_Int_Tables_number 67
_symmetry_space_group_name_Hall '-C 2a 2'
_cell_length_a 5.662
_cell_length_b 14.902
_cell_length_c 5.348
_cell_angle_alpha 90.00
_cell_angle_beta 90.00
_cell_angle_gamma 90.00
loop_
_atom_site_label
_atom_site_fract_x
_atom_site_fract_y
_atom_site_fract_z
Cs1 0.000 0.250 0.231
V1 0.250 0.000 0.500
Cu1 0.000 0.000 0.000
S1 0.000 0.100 0.703
```

---

Compound: CsCuW2S8
Source: the Alexandria database
Functional: PBE
Structure: optimized geometry

Values from the calculation:
E ... -5.708 eV/atom

```
data_CsCuW2S8
_symmetry_space_group_name_H-M 'R -3'
_symmetry_Int_Tables_number 148
_symmetry_space_group_name_Hall '-R 3'
_cell_length_a 6.1753
_cell_length_b 6.1753
_cell_length_c 30.1350
_cell_angle_alpha 90.00
_cell_angle_beta 90.00
_cell_angle_gamma 120.00
loop_
_atom_site_label
_atom_site_fract_x
_atom_site_fract_y
_atom_site_fract_z
Cs1 0.0000 0.0000 0.0000
Cu1 0.0000 0.0000 0.5000
W1 0.0000 0.0000 0.2382
S1 0.0000 0.0000 0.3109
S2 0.0013 0.3221 0.5482
```